Material: SrTe2Au
Method: DFT, PBE-GGA
State: optimized geometry

The structure belongs to space group P4/mmm (No. 123); the cell edges are 4.2088, 4.2088 and 6.5648 Å and the angles 90.00°, 90.00° and 90.00°. Symmetry generates all atoms from Sr at (0.0000, 0.0000, 0.0000), Te at (0.5000, 0.5000, 0.2580) and Au at (0.0000, 0.0000, 0.5000).

Its crystal system is tetragonal. For the formation energy from raw total energies, the calculation gives -0.49 eV/atom. Its spin magnetization is 0.00 μB per cell. Its total energy is -3.30 eV per atom.

Material: Pa2CuSi
Method: DFT, PBE-GGA
State: optimized geometry

The structure belongs to space group P4/mmm (No. 123); the cell edges are 4.3430, 4.3430 and 4.1775 Å and the angles 90.00°, 90.00° and 90.00°. Symmetry generates all atoms from Pa at (0.0000, 0.5000, 0.0000), Cu at (0.0000, 0.0000, 0.5000) and Si at (0.5000, 0.5000, 0.5000).

Its crystal system is tetragonal. For the formation energy from raw total energies, the calculation gives -0.16 eV/atom. As for the energy above the most stable polymorph in this dataset: 49 meV/atom. Its spin magnetization is 0.00 μB per cell. Its total energy is -7.29 eV per atom.

Material: Nd6CoAg2
Method: DFT, PBE-GGA
State: optimized geometry

The structure belongs to space group Immm (No. 71); the cell edges are 9.7953, 10.0663 and 10.3732 Å and the angles 90.00°, 90.00° and 90.00°. Symmetry generates all atoms from Nd at (0.0000, 0.1660, 0.2496), Nd at (0.1663, 0.5000, 0.2242), Nd at (0.2287, 0.3187, 0.5000), Co at (0.0000, 0.0000, 0.0000), Co at (0.0000, 0.5000, 0.5000), Ag at (0.0000, 0.3525, 0.0000) and Ag at (0.1373, 0.0000, 0.5000).

Its crystal system is orthorhombic. As for the energy above the most stable polymorph in this dataset: 43 meV/atom. Its spin magnetization is 1.08 μB per cell. As for the energy of formation from the pure elements: -0.43 eV/f.u. Its total energy is -4.65 eV per atom.

Material: PaMoC2
Method: DFT, PBE-GGA
State: optimized geometry

The structure belongs to space group Cmcm (No. 63); the cell edges are 3.7138, 13.5160 and 4.5742 Å and the angles 90.00°, 90.00° and 90.00°. Symmetry generates all atoms from Pa at (0.0000, 0.1820, 0.2500), Mo at (0.0000, 0.4253, 0.2500), C at (0.0000, 0.1531, 0.7500) and C at (0.0000, 0.4255, 0.7500).

Its crystal system is orthorhombic. As for the energy above the most stable polymorph in this dataset: 149 meV/atom. Its spin magnetization is 0.00 μB per cell. As for the energy of formation from the pure elements: -0.46 eV/f.u. Its total energy is -9.81 eV per atom.

Material: Tm2CoC2
Method: DFT, PBE-GGA
State: optimized geometry

The structure belongs to space group C2/m (No. 12); the cell edges are 10.6339, 3.3188 and 9.0430 Å and the angles 90.00°, 119.07° and 90.00°. Symmetry generates all atoms from Tm at (0.0167, 0.0000, 0.1705), Tm at (0.1544, 0.0000, 0.5996), Co at (0.2257, 0.5000, 0.8892), C at (0.0274, 0.5000, 0.6735) and C at (0.1732, 0.5000, 0.0787).

Its crystal system is monoclinic. As for the energy above the most stable polymorph in this dataset: 120 meV/atom. Its spin magnetization is 0.00 μB per cell. As for the energy of formation from the pure elements: -0.67 eV/f.u. Its total energy is -7.03 eV per atom.

Material: MgPdAu2
Method: DFT, PBE-GGA
State: optimized geometry

The structure belongs to space group F-43m (No. 216); the cell edges are 6.5047, 6.5047 and 6.5047 Å and the angles 90.00°, 90.00° and 90.00°. Symmetry generates all atoms from Mg at (0.0000, 0.0000, 0.0000), Pd at (0.2500, 0.2500, 0.2500), Au at (0.0000, 0.0000, 0.5000) and Au at (0.2500, 0.2500, 0.7500).

Its crystal system is cubic. Its spin magnetization is 0.00 μB per cell. As for the energy of formation from the pure elements: -1.71 eV/f.u. Its total energy is -3.76 eV per atom.

Q: The highest spin magnetization belongs to which entry?
A: Nd6CoAg2